VASP calculation (PBE) on a relaxed structure of ZrNb2CoSn.

Computed properties:
- space-group type = P4/mmm, No. 123
- volume (Å³/f.u.) = 132.6
- total magnetic moment (μB/f.u.) = 1.1
- raw total energy (eV for the cell shown) = -30.78

Unit cell a=5.042 b=5.216 c=5.042 alpha=90.00 beta=90.00 gamma=90.00
Site moments in Bohr magnetons follow the coordinates.
Atoms (fractional coordinates):
Co 0.500 0.500 0.500  2.14
Sn 0.000 0.000 0.000  0.01
Nb 0.500 0.000 0.000  -0.37
Nb 0.000 0.000 0.500  -0.26
Zr 0.000 0.500 0.000  -0.11

VASP calculation (PBE) on a relaxed structure of La4Sn2I5.

Computed properties:
- space-group type = C2/m, No. 12
- volume (Å³/f.u.) = 505.1
- total magnetic moment (μB/f.u.) = 0.0
- E_form (uncorrected) (eV/atom) = -1.125
- raw total energy (eV for the cell shown) = -47.85

Unit cell a=4.472 b=8.960 c=12.856 alpha=84.66 beta=100.02 gamma=90.00
Atoms (fractional coordinates):
La 0.667 0.557 0.333
La 0.016 0.718 0.031
La 0.333 0.443 0.667
La 0.984 0.282 0.969
I 0.500 0.000 0.000
I 0.786 0.689 0.571
I 0.214 0.311 0.429
I 0.861 0.185 0.722
I 0.139 0.815 0.278
Sn 0.555 0.453 0.110
Sn 0.445 0.547 0.890

VASP calculation (PBE) on a relaxed structure of ErGeAu.

Computed properties:
- space-group type = P3m1, No. 156
- volume (Å³/f.u.) = 62.1
- total magnetic moment (μB/f.u.) = 0.0
- raw total energy (eV for the cell shown) = -14.76

Unit cell a=3.626 b=4.448 c=4.448 alpha=120.00 beta=90.00 gamma=90.00
Atoms (fractional coordinates):
Er 0.664 0.667 0.333
Au 0.155 0.000 0.000
Ge 0.181 0.333 0.667

VASP calculation (PBE) on a relaxed structure of Ti2BiS.

Computed properties:
- space-group type = R-3m, No. 166
- E above lowest polymorph (eV per formula unit) = 0.000
- volume (Å³/f.u.) = 75.7
- total magnetic moment (μB/f.u.) = 0.0
- E_form (uncorrected) (eV/atom) = -0.745
- raw total energy (eV for the cell shown) = -26.78

Unit cell a=3.639 b=3.639 c=6.925 alpha=74.77 beta=74.77 gamma=60.00
Atoms (fractional coordinates):
Ti 0.274 0.274 0.177
Ti 0.726 0.726 0.823
S 0.000 0.000 0.000
Bi 0.500 0.500 0.500

VASP calculation (PBE) on a relaxed structure of Cr2Co2Ag.

Computed properties:
- space-group type = P4/mbm, No. 127
- E above lowest polymorph (eV per formula unit) = 0.193
- volume (Å³/f.u.) = 62.8
- total magnetic moment (μB/f.u.) = 0.0
- raw total energy (eV for the cell shown) = -69.38

Unit cell a=7.022 b=7.022 c=2.548 alpha=90.00 beta=90.00 gamma=90.00
Atoms (fractional coordinates):
Cr 0.615 0.115 0.000
Cr 0.885 0.615 0.000
Cr 0.385 0.885 0.000
Cr 0.115 0.385 0.000
Co 0.171 0.671 0.500
Co 0.829 0.329 0.500
Co 0.671 0.829 0.500
Co 0.329 0.171 0.500
Ag 0.500 0.500 0.000
Ag 0.000 0.000 0.000

VASP calculation (PBE) on a relaxed structure of RbNa2TcF8.

Computed properties:
- space-group type = P-1, No. 2
- volume (Å³/f.u.) = 201.3
- total magnetic moment (μB/f.u.) = 3.0
- E_form (uncorrected) (eV/atom) = -2.380
- raw total energy (eV for the cell shown) = -57.50

Unit cell a=5.004 b=5.134 c=7.834 alpha=89.87 beta=89.92 gamma=90.53
Site moments in Bohr magnetons follow the coordinates.
Atoms (fractional coordinates):
Na 0.500 0.501 0.255  0.00
Na 0.500 0.499 0.745  0.00
F 0.479 0.263 0.500  0.22
F 0.521 0.737 0.500  0.22
F 0.845 0.216 0.175  0.06
F 0.154 0.783 0.176  0.06
F 0.155 0.784 0.825  0.06
F 0.306 0.234 0.000  0.05
F 0.694 0.766 0.000  0.05
F 0.846 0.217 0.824  0.06
Rb 0.000 0.000 0.500  0.00
Tc 0.000 0.000 0.000  1.99

Repeat the fifth record exactly.
VASP calculation (PBE) on a relaxed structure of Cr2Co2Ag.

Computed properties:
- space-group type = P4/mbm, No. 127
- E above lowest polymorph (eV per formula unit) = 0.193
- volume (Å³/f.u.) = 62.8
- total magnetic moment (μB/f.u.) = 0.0
- raw total energy (eV for the cell shown) = -69.38

Unit cell a=7.022 b=7.022 c=2.548 alpha=90.00 beta=90.00 gamma=90.00
Atoms (fractional coordinates):
Cr 0.615 0.115 0.000
Cr 0.885 0.615 0.000
Cr 0.385 0.885 0.000
Cr 0.115 0.385 0.000
Co 0.171 0.671 0.500
Co 0.829 0.329 0.500
Co 0.671 0.829 0.500
Co 0.329 0.171 0.500
Ag 0.500 0.500 0.000
Ag 0.000 0.000 0.000

Repeat the sixth record exactly.
VASP calculation (PBE) on a relaxed structure of RbNa2TcF8.

Computed properties:
- space-group type = P-1, No. 2
- volume (Å³/f.u.) = 201.3
- total magnetic moment (μB/f.u.) = 3.0
- E_form (uncorrected) (eV/atom) = -2.380
- raw total energy (eV for the cell shown) = -57.50

Unit cell a=5.004 b=5.134 c=7.834 alpha=89.87 beta=89.92 gamma=90.53
Site moments in Bohr magnetons follow the coordinates.
Atoms (fractional coordinates):
Na 0.500 0.501 0.255  0.00
Na 0.500 0.499 0.745  0.00
F 0.479 0.263 0.500  0.22
F 0.521 0.737 0.500  0.22
F 0.845 0.216 0.175  0.06
F 0.154 0.783 0.176  0.06
F 0.155 0.784 0.825  0.06
F 0.306 0.234 0.000  0.05
F 0.694 0.766 0.000  0.05
F 0.846 0.217 0.824  0.06
Rb 0.000 0.000 0.500  0.00
Tc 0.000 0.000 0.000  1.99

- Look up the volume of the second one.
  505.1 Å³/f.u.

- raw total energy of number 3 (ErGeAu)?
  -14.76 eV for the cell shown